This record from the Alexandria database describes a relaxed structure of PrSm7In2. The functional is PBE.

a = 5.540 Å, b = 9.101 Å, c = 9.101 Å
α = 118.66°, β = 90.00°, γ = 90.00°
Element x y z (fractional)
Sm: 0.000 0.771 0.229
In: 0.500 0.696 0.304
Sm: 0.500 0.941 0.697
Sm: 0.000 0.229 0.771
Sm: 0.500 0.697 0.941
Pr: 0.000 0.000 0.000
Sm: 0.500 0.303 0.059
In: 0.500 0.304 0.696
Sm: 0.500 0.500 0.500
Sm: 0.500 0.059 0.303

## Properties
Calculated formation energy: 0.32 eV/atom

This record from the Alexandria database describes a relaxed structure of LiAsC3. The functional is PBE.

a = 3.747 Å, b = 3.747 Å, c = 3.747 Å
α = 90.00°, β = 90.00°, γ = 90.00°
Element x y z (fractional)
C: 0.000 0.500 0.000
C: 0.500 0.000 0.000
C: 0.000 0.000 0.500
As: 0.500 0.500 0.500
Li: 0.000 0.000 0.000

## Properties
Calculated formation energy: 2.90 eV/atom

This record from the Alexandria database describes a relaxed structure of NaUO4. The functional is PBE.

a = 3.515 Å, b = 5.985 Å, c = 15.798 Å
α = 90.00°, β = 90.00°, γ = 90.00°
Site moments in Bohr magnetons follow the coordinates.
Element x y z (fractional)
O: 0.250 0.146 0.529  0.26
O: 0.250 0.675 0.698  0.08
Na: 0.750 0.383 0.702  0.00
U: 0.250 0.858 0.596  0.05
O: 0.250 0.646 0.971  0.26
O: 0.750 0.012 0.650  0.01
O: 0.750 0.512 0.850  0.01
O: 0.250 0.175 0.802  0.08
U: 0.750 0.142 0.404  0.05
O: 0.750 0.130 0.926  0.47
O: 0.250 0.988 0.350  0.01
O: 0.250 0.370 0.426  0.47
U: 0.250 0.358 0.904  0.05
Na: 0.750 0.883 0.798  0.00
U: 0.750 0.642 0.096  0.05
O: 0.750 0.825 0.198  0.08
O: 0.250 0.870 0.074  0.47
Na: 0.250 0.617 0.298  0.00
O: 0.750 0.630 0.574  0.47
O: 0.250 0.488 0.150  0.01
O: 0.750 0.354 0.029  0.26
O: 0.750 0.854 0.471  0.26
O: 0.750 0.325 0.302  0.08
Na: 0.250 0.117 0.202  0.00

## Properties
Formation energy without anion corrections: -2277 meV/atom

This record from the Alexandria database describes a relaxed structure of Zr6HgRh5. The functional is PBE.

a = 4.705 Å, b = 6.742 Å, c = 8.157 Å
α = 114.41°, β = 106.76°, γ = 90.00°
Element x y z (fractional)
Zr: 0.500 0.736 0.000
Hg: 0.000 0.000 0.000
Rh: 0.338 0.838 0.677
Rh: 0.329 0.329 0.659
Zr: 0.829 0.086 0.658
Rh: 0.000 0.500 0.000
Rh: 0.671 0.671 0.341
Zr: 0.171 0.427 0.342
Rh: 0.662 0.162 0.323
Zr: 0.829 0.573 0.658
Zr: 0.171 0.914 0.342
Zr: 0.500 0.264 0.000

## Properties
Calculated formation energy: -0.61 eV/atom

This record from the Alexandria database describes a relaxed structure of Sb5W4. The functional is PBE.

a = 8.228 Å, b = 8.228 Å, c = 6.154 Å
α = 90.00°, β = 90.00°, γ = 120.00°
Element x y z (fractional)
W: 0.000 0.000 0.500
W: 0.391 0.391 0.750
Sb: 0.279 0.279 0.250
Sb: 0.721 0.000 0.250
Sb: 0.000 0.721 0.250
Sb: 0.333 0.667 0.000
W: 0.609 0.000 0.750
W: 0.000 0.609 0.750
Sb: 0.667 0.333 0.000
Sb: 0.667 0.333 0.500
W: 0.391 0.000 0.250
Sb: 0.721 0.721 0.750
Sb: 0.279 0.000 0.750
W: 0.609 0.609 0.250
Sb: 0.000 0.279 0.750
Sb: 0.333 0.667 0.500
W: 0.000 0.391 0.250
W: 0.000 0.000 0.000

## Properties
Formation energy without anion corrections: 910 meV/atom

This record from the Alexandria database describes a relaxed structure of ReSbSe2S. The functional is PBE.

a = 5.040 Å, b = 4.372 Å, c = 5.040 Å
α = 90.00°, β = 90.00°, γ = 90.00°
Element x y z (fractional)
Sb: 0.500 0.500 0.500
Se: 0.000 0.000 0.500
Re: 0.000 0.500 0.000
S: 0.000 0.000 0.000
Se: 0.500 0.000 0.000

## Properties
Formation energy without anion corrections: 1017 meV/atom

This record from the Alexandria database describes a relaxed structure of Mg2Zn2Sn. The functional is PBE.

a = 3.727 Å, b = 3.727 Å, c = 8.204 Å
α = 76.87°, β = 76.87°, γ = 90.00°
Element x y z (fractional)
Mg: 0.607 0.607 0.786
Mg: 0.393 0.393 0.214
Zn: 0.750 0.250 0.500
Zn: 0.250 0.750 0.500
Sn: 0.000 0.000 0.000

## Properties
Calculated formation energy: 0.02 eV/atom

This record from the Alexandria database describes a relaxed structure of Rb3Mn2N4. The functional is PBE.

a = 5.826 Å, b = 8.072 Å, c = 9.672 Å
α = 114.66°, β = 107.53°, γ = 90.00°
Element x y z (fractional)
N: 0.700 0.200 0.900
N: 0.074 0.143 0.149
N: 0.300 0.800 0.100
Mn: 0.529 0.664 0.057
Rb: 0.603 0.163 0.206
N: 0.800 0.800 0.100
N: 0.426 0.494 0.851
Mn: 0.029 0.893 0.057
N: 0.200 0.200 0.900
Rb: 0.103 0.543 0.206
Rb: 0.397 0.837 0.794
Mn: 0.971 0.107 0.943
Rb: 0.750 0.802 0.500
Mn: 0.471 0.336 0.943
Rb: 0.897 0.457 0.794
N: 0.926 0.857 0.851
N: 0.574 0.506 0.149
Rb: 0.250 0.198 0.500

## Properties
Formation energy without anion corrections: -258 meV/atom

This record from the Alexandria database describes a relaxed structure of NaSn3Au. The functional is PBE.

a = 5.490 Å, b = 5.490 Å, c = 5.490 Å
α = 90.00°, β = 90.00°, γ = 90.00°
Element x y z (fractional)
Sn: 0.500 0.000 0.000
Sn: 0.000 0.000 0.500
Au: 0.000 0.000 0.000
Sn: 0.000 0.500 0.000
Na: 0.500 0.500 0.500

## Properties
Calculated formation energy: 0.20 eV/atom

This record from the Alexandria database describes a relaxed structure of Pm6DyTm2Sc. The functional is PBE.

a = 9.374 Å, b = 8.866 Å, c = 8.866 Å
α = 117.37°, β = 93.32°, γ = 93.32°
Element x y z (fractional)
Pm: 0.694 0.994 0.558
Tm: 0.951 0.696 0.795
Pm: 0.613 0.487 0.709
Pm: 0.887 0.291 0.513
Pm: 0.448 0.233 0.879
Dy: 0.250 0.973 0.027
Sc: 0.750 0.580 0.420
Sc: 0.250 0.420 0.580
Tm: 0.549 0.205 0.304
Pm: 0.387 0.513 0.291
Tm: 0.049 0.304 0.205
Dy: 0.750 0.027 0.973
Pm: 0.306 0.006 0.442
Pm: 0.552 0.767 0.121
Pm: 0.948 0.879 0.233
Pm: 0.052 0.121 0.767
Pm: 0.113 0.709 0.487
Pm: 0.806 0.442 0.006
Pm: 0.194 0.558 0.994
Tm: 0.451 0.795 0.696

## Properties
Calculated formation energy: 0.13 eV/atom

This record from the Alexandria database describes a relaxed structure of KCuTc2. The functional is PBE.

a = 2.737 Å, b = 2.737 Å, c = 10.051 Å
α = 90.00°, β = 90.00°, γ = 112.65°
Element x y z (fractional)
Tc: 0.000 0.000 0.042
Tc: 0.500 0.500 0.249
K: 0.500 0.500 0.747
Cu: 0.000 0.000 0.462

## Properties
Calculated formation energy: 0.75 eV/atom

This record from the Alexandria database describes a relaxed structure of Ru2PtBr. The functional is PBE.

a = 3.662 Å, b = 2.921 Å, c = 6.473 Å
α = 89.98°, β = 90.00°, γ = 90.00°
Element x y z (fractional)
Pt: 0.500 0.750 0.750
Br: 0.500 0.250 0.250
Ru: 0.000 0.250 0.551
Ru: 0.000 0.250 0.949

## Properties
Formation energy without anion corrections: 533 meV/atom

This record from the Alexandria database describes a relaxed structure of Ga3Ir2. The functional is PBE.

a = 5.207 Å, b = 5.207 Å, c = 7.718 Å
α = 70.29°, β = 70.29°, γ = 60.00°
Element x y z (fractional)
Ir: 0.000 0.000 0.000
Ga: 0.071 0.781 0.726
Ir: 0.331 0.331 0.007
Ga: 0.578 0.929 0.274
Ga: 0.219 0.578 0.274
Ir: 0.500 0.500 0.500
Ga: 0.929 0.219 0.274
Ir: 0.669 0.669 0.993
Ga: 0.781 0.422 0.726
Ga: 0.422 0.071 0.726

## Properties
Calculated formation energy: -0.23 eV/atom

This record from the Alexandria database describes a relaxed structure of SrSm2GeN4. The functional is PBE.

a = 3.494 Å, b = 6.351 Å, c = 12.058 Å
α = 90.00°, β = 90.00°, γ = 105.97°
Element x y z (fractional)
Sr: 0.906 0.813 0.250
N: 0.263 0.526 0.124
Sm: 0.370 0.739 0.961
Ge: 0.821 0.642 0.750
N: 0.586 0.173 0.250
Sm: 0.370 0.739 0.539
Ge: 0.179 0.358 0.250
Sm: 0.630 0.261 0.461
N: 0.000 0.000 0.000
N: 0.263 0.526 0.376
Sr: 0.094 0.187 0.750
N: 0.000 0.000 0.500
Sm: 0.630 0.261 0.039
N: 0.414 0.827 0.750
N: 0.737 0.474 0.876
N: 0.737 0.474 0.624

## Properties
Formation energy without anion corrections: -950 meV/atom

This record from the Alexandria database describes a relaxed structure of Pr2ErTl4. The functional is PBE.

a = 5.334 Å, b = 5.334 Å, c = 8.523 Å
α = 108.24°, β = 108.24°, γ = 90.00°
Element x y z (fractional)
Tl: 0.610 0.110 0.219
Tl: 0.110 0.610 0.219
Pr: 0.749 0.749 0.499
Tl: 0.390 0.890 0.781
Er: 0.000 0.000 0.000
Tl: 0.890 0.390 0.781
Pr: 0.251 0.251 0.501

## Properties
Calculated formation energy: -0.24 eV/atom

This record from the Alexandria database describes a relaxed structure of ScTlAs2. The functional is PBE.

a = 3.939 Å, b = 3.939 Å, c = 6.017 Å
α = 90.00°, β = 90.00°, γ = 90.00°
Element x y z (fractional)
Tl: 0.500 0.500 0.829
Sc: 0.000 0.000 0.397
As: 0.000 0.000 0.914
As: 0.500 0.500 0.361

## Properties
Calculated formation energy: -0.44 eV/atom

This record from the Alexandria database describes a relaxed structure of NaMnGeSe3. The functional is PBE.

a = 3.753 Å, b = 7.031 Å, c = 12.077 Å
α = 115.19°, β = 90.00°, γ = 90.00°
Site moments in Bohr magnetons follow the coordinates.
Element x y z (fractional)
Se: 0.250 0.128 0.756  -0.04
Se: 0.250 0.670 0.946  -0.04
Se: 0.750 0.872 0.244  -0.04
Ge: 0.250 0.180 0.560  0.02
Se: 0.250 0.551 0.364  -0.01
Ge: 0.750 0.820 0.440  0.02
Mn: 0.750 0.404 0.847  3.77
Mn: 0.250 0.596 0.153  3.77
Se: 0.750 0.330 0.054  -0.04
Se: 0.750 0.449 0.636  -0.01
Na: 0.250 0.114 0.161  0.01
Na: 0.750 0.886 0.839  0.01

## Properties
Formation energy without anion corrections: -545 meV/atom

This record from the Alexandria database describes a relaxed structure of Ti2TcSnIr. The functional is PBE.

a = 4.656 Å, b = 4.796 Å, c = 4.656 Å
α = 90.00°, β = 90.00°, γ = 90.00°
Element x y z (fractional)
Ti: 0.000 0.000 0.500
Tc: 0.000 0.000 0.000
Ir: 0.000 0.500 0.000
Sn: 0.500 0.500 0.500
Ti: 0.500 0.000 0.000

## Properties
Calculated formation energy: 0.53 eV/atom

This record from the Alexandria database describes a relaxed structure of InTc2MoN. The functional is PBE.

a = 4.152 Å, b = 4.152 Å, c = 4.141 Å
α = 90.00°, β = 90.00°, γ = 90.00°
Site moments in Bohr magnetons follow the coordinates.
Element x y z (fractional)
In: 0.500 0.500 0.500  -0.01
N: 0.000 0.000 0.000  -0.01
Mo: 0.000 0.000 0.500  0.10
Tc: 0.000 0.500 0.000  0.11
Tc: 0.500 0.000 0.000  0.11

## Properties
Formation energy without anion corrections: 31 meV/atom

This record from the Alexandria database describes a relaxed structure of MnAs3I. The functional is PBE.

a = 4.717 Å, b = 4.717 Å, c = 4.717 Å
α = 90.00°, β = 90.00°, γ = 90.00°
Element x y z (fractional)
As: 0.000 0.500 0.000
I: 0.500 0.500 0.500
Mn: 0.000 0.000 0.000
As: 0.000 0.000 0.500
As: 0.500 0.000 0.000

## Properties
Formation energy without anion corrections: 391 meV/atom

This record from the Alexandria database describes a relaxed structure of PrZrTi2. The functional is PBE.

a = 3.675 Å, b = 3.675 Å, c = 6.857 Å
α = 90.00°, β = 90.00°, γ = 90.00°
Element x y z (fractional)
Pr: 0.500 0.500 0.500
Ti: 0.000 0.000 0.197
Ti: 0.000 0.000 0.803
Zr: 0.500 0.500 0.000

## Properties
Calculated formation energy: 0.18 eV/atom

This record from the Alexandria database describes a relaxed structure of Er6Fe2Pd. The functional is PBE.

a = 8.157 Å, b = 8.157 Å, c = 8.157 Å
α = 107.18°, β = 111.29°, γ = 109.97°
Site moments in Bohr magnetons follow the coordinates.
Element x y z (fractional)
Er: 0.201 0.225 0.426  -0.05
Er: 0.799 0.225 0.025  -0.05
Fe: 0.500 0.390 0.890  0.51
Fe: 0.618 0.000 0.618  0.43
Fe: 0.382 0.000 0.382  0.43
Er: 0.201 0.775 0.975  -0.05
Er: 0.099 0.287 0.812  -0.09
Fe: 0.500 0.610 0.110  0.51
Er: 0.526 0.713 0.812  -0.09
Er: 0.799 0.775 0.574  -0.05
Er: 0.300 0.614 0.314  -0.07
Pd: 0.000 0.000 0.000  -0.01
Er: 0.700 0.386 0.686  -0.07
Er: 0.300 0.986 0.686  -0.07
Er: 0.901 0.713 0.188  -0.09
Er: 0.474 0.287 0.188  -0.09
Er: 0.700 0.014 0.314  -0.07
Pd: 0.000 0.500 0.500  -0.01

## Properties
Calculated formation energy: -0.24 eV/atom

This record from the Alexandria database describes a relaxed structure of FeSiAg. The functional is PBE.

a = 4.115 Å, b = 4.115 Å, c = 2.891 Å
α = 90.00°, β = 90.00°, γ = 120.00°
Site moments in Bohr magnetons follow the coordinates.
Element x y z (fractional)
Si: 0.333 0.667 0.506  -0.07
Ag: 0.000 0.000 0.998  -0.02
Fe: 0.667 0.333 0.497  1.77

## Properties
Formation energy without anion corrections: 228 meV/atom

What are the total magnetization values for these records? In order: 0.01, 0.00, 3.94, 0.00, 0.00, 0.00, 0.00, 0.00, 0.00, 0.00, 0.00, 0.00, 0.00, 0.00, 0.00, 0.00, 7.99, 0.00, 0.33, 0.00, 0.00, 0.90, 1.62 Bohr magnetons per cell.
What are the E values for these records? In order: -40.06, -19.74, -184.40, -95.62, -128.47, -22.58, -9.65, -113.73, -15.63, -94.21, -22.94, -24.13, -55.93, -113.28, -25.26, -19.77, -57.66, -36.35, -42.47, -22.71, -28.41, -103.28, -16.05 eV for the cell shown.